1.
This record from Alexandria via LeMat-Bulk describes a relaxed RbCrIn2Si crystal. The functional is PBE.

Lattice parameters (Å, degrees): 5.313 5.313 6.101 90.00 90.00 90.00
Atoms (fractional coordinates):
Rb 0.000 0.000 0.000
Cr 0.000 0.000 0.500
In 0.000 0.500 0.500
In 0.500 0.000 0.500
Si 0.500 0.500 0.000

Output
The space group is No. 123. The calculation puts the total magnetic moment at 3.1 μB/f.u. Its crystal system is tetragonal. The density of states at the Fermi level comes out at 0.6424 states/eV per atom. As for the uncorrected formation energy: 4.72 eV/f.u.

2.
This record from Alexandria via LeMat-Bulk describes a relaxed Rb2CrInTe4 crystal. The functional is PBE.

Lattice parameters (Å, degrees): 9.152 9.152 9.152 121.91 118.18 89.95
Atoms (fractional coordinates):
Rb 0.000 0.000 0.000
Rb 0.500 0.000 0.000
Rb 0.500 0.000 0.500
Rb 0.500 0.500 0.500
Cr 0.000 0.000 0.500
Cr 0.000 0.500 0.000
In 0.000 0.500 0.500
In 0.500 0.500 0.000
Te 0.182 0.737 0.444
Te 0.207 0.263 0.944
Te 0.219 0.247 0.528
Te 0.219 0.691 0.972
Te 0.781 0.309 0.028
Te 0.781 0.753 0.472
Te 0.793 0.737 0.056
Te 0.818 0.263 0.556

Output
The space group is No. 74. The calculation puts the total magnetic moment at 3.0 μB/f.u. Its crystal system is orthorhombic. The density of states at the Fermi level comes out at 0.2991 states/eV per atom. As for the uncorrected formation energy: -3.80 eV/f.u.

3.
This record from Alexandria via LeMat-Bulk describes a relaxed Cr4InRe2 crystal. The functional is PBE.

Lattice parameters (Å, degrees): 4.842 4.842 12.463 90.00 90.00 90.00
Atoms (fractional coordinates):
Cr 0.000 0.000 0.213
Cr 0.000 0.000 0.787
Cr 0.000 0.500 0.000
Cr 0.000 0.500 0.500
Cr 0.500 0.000 0.000
Cr 0.500 0.000 0.500
Cr 0.500 0.500 0.287
Cr 0.500 0.500 0.713
In 0.000 0.000 0.000
In 0.500 0.500 0.500
Re 0.000 0.000 0.402
Re 0.000 0.000 0.598
Re 0.500 0.500 0.098
Re 0.500 0.500 0.902

Output
The space group is No. 139. For the formation energy from the elements, the calculation gives 1731 meV per atom. The calculation puts the total magnetic moment at 10.7 μB/f.u. Its crystal system is tetragonal. The density of states at the Fermi level comes out at 1.0730 states/eV per atom.

4.
This record from Alexandria via LeMat-Bulk describes a relaxed CrIn2Re crystal. The functional is PBE.

Lattice parameters (Å, degrees): 3.066 4.713 10.125 90.00 90.00 90.00
Atoms (fractional coordinates):
Cr 0.000 0.000 0.000
Cr 0.500 0.500 0.500
In 0.000 0.000 0.550
In 0.000 0.500 0.760
In 0.500 0.000 0.260
In 0.500 0.500 0.050
Re 0.000 0.500 0.319
Re 0.500 0.000 0.819

Output
The space group is No. 44. For the formation energy from the elements, the calculation gives 503 meV per atom. The calculation puts the total magnetic moment at 1.3 μB/f.u. Its crystal system is orthorhombic. The density of states at the Fermi level comes out at 0.7352 states/eV per atom. The value obtained for the offset from the most stable computed form is 280 meV/atom.